Material: TbPrNdDy
Method: DFT, PBE
State: relaxed

Structure (CIF):
```
data_TbPrNdDy
_chemical_formula_sum 'Tb1 Pr1 Nd1 Dy1'
_cell_length_a 5.761
_cell_length_b 5.761
_cell_length_c 5.761
_cell_angle_alpha 60.00
_cell_angle_beta 60.00
_cell_angle_gamma 60.00
_space_group_name_H-M_alt 'P 1'
_space_group_IT_number 1
loop_
_space_group_symop_operation_xyz
'x,y,z'
loop_
_atom_site_label
_atom_site_fract_x
_atom_site_fract_y
_atom_site_fract_z
Pr1 0.750 0.750 0.750
Nd1 0.250 0.250 0.250
Tb1 0.500 0.500 0.500
Dy1 0.000 0.000 0.000
```

Summary:
Uncorrected energy = -4.5786 eV per atom
Formation energy = 116 meV/atom
Fermi-level density of states = 1.93 states/eV/atom
Energy above the most stable polymorph in this dataset = 0.098 eV per atom
V = 135.2 Å³ per cell